# 1
Crystalline Lu2NiOs at its relaxed geometry, computed with PBE.

Cell: 6.643 6.643 6.643 Å, 90.00 90.00 90.00°
Space group Fm-3m (No. 225)
One atom of each set of equivalent atoms:
1 Lu 0.250 0.250 0.250 [8 per cell]
2 Ni 0.000 0.000 0.000 [4 per cell]
3 Os 0.000 0.000 0.500 [4 per cell]

Calculated values
Total energy   -6.94 eV per atom
Crystal system   cubic
Magnetization   0.00 μB/f.u.
Excess energy over the best structure of this formula in the dataset   0.0000 eV per atom

=====

# 2
Crystalline Lu2NiOs at its relaxed geometry, computed with PBE.

Cell: 3.344 3.344 6.567 Å, 90.00 90.00 90.00°
Space group P4/mmm (No. 123)
One atom of each set of equivalent atoms:
1 Lu 0.000 0.000 0.248 [2 per cell]
2 Ni 0.500 0.500 0.500 [1 per cell]
3 Os 0.500 0.500 0.000 [1 per cell]

Calculated values
Total energy   -6.94 eV per atom
Crystal system   tetragonal
Magnetization   0.00 μB/f.u.
Excess energy over the best structure of this formula in the dataset   0.0015 eV per atom

=====

Repeat the second record exactly.
Crystalline Lu2NiOs at its relaxed geometry, computed with PBE.

Cell: 3.344 3.344 6.567 Å, 90.00 90.00 90.00°
Space group P4/mmm (No. 123)
One atom of each set of equivalent atoms:
1 Lu 0.000 0.000 0.248 [2 per cell]
2 Ni 0.500 0.500 0.500 [1 per cell]
3 Os 0.500 0.500 0.000 [1 per cell]

Calculated values
Total energy   -6.94 eV per atom
Crystal system   tetragonal
Magnetization   0.00 μB/f.u.
Excess energy over the best structure of this formula in the dataset   0.0015 eV per atom